This record from Alexandria via LeMat-Bulk describes a geometry-optimized PrDyLuCd structure. The functional is PBE.

Unit cell a=5.4866 b=5.4866 c=5.4866 alpha=60.00 beta=60.00 gamma=60.00
Fractional coordinates of all 4 atoms:
Pr: 0.5000 0.5000 0.5000
Cd: 0.7500 0.7500 0.7500
Lu: 0.2500 0.2500 0.2500
Dy: 0.0000 0.0000 0.0000

* magnetization: 0.0 μB/cell
* calculated formation energy: -0.047 eV/atom
* N(E_F): 4.864 states/eV/cell

This record from Alexandria via LeMat-Bulk describes a geometry-optimized DyLuCdPt structure. The functional is PBE.

Unit cell a=5.0444 b=5.0444 c=5.0444 alpha=60.00 beta=60.00 gamma=60.00
Fractional coordinates of all 4 atoms:
Cd: 0.2500 0.2500 0.2500
Lu: 0.0000 0.0000 0.0000
Pt: 0.7500 0.7500 0.7500
Dy: 0.5000 0.5000 0.5000

* magnetization: 0.0 μB/cell
* calculated formation energy: -0.747 eV/atom
* N(E_F): 2.738 states/eV/cell

This record from Alexandria via LeMat-Bulk describes a geometry-optimized DyLuPuCd structure. The functional is PBE.

Unit cell a=5.3574 b=5.3574 c=5.3574 alpha=60.00 beta=60.00 gamma=60.00
Each line ends with the local moment (μB).
Fractional coordinates of all 4 atoms:
Cd: 0.0000 0.0000 0.0000  -0.02
Lu: 0.7500 0.7500 0.7500  0.28
Dy: 0.2500 0.2500 0.2500  0.32
Pu: 0.5000 0.5000 0.5000  5.65

* magnetization: 6.6 μB/cell
* calculated formation energy: 0.077 eV/atom
* N(E_F): 12.970 states/eV/cell

This record from Alexandria via LeMat-Bulk describes a geometry-optimized DyLuCdRh structure. The functional is PBE.

Unit cell a=5.0015 b=5.0015 c=5.0015 alpha=60.00 beta=60.00 gamma=60.00
Fractional coordinates of all 4 atoms:
Cd: 0.7500 0.7500 0.7500
Lu: 0.0000 0.0000 0.0000
Rh: 0.2500 0.2500 0.2500
Dy: 0.5000 0.5000 0.5000

* magnetization: 0.0 μB/cell
* calculated formation energy: -0.553 eV/atom
* N(E_F): 2.487 states/eV/cell

This record from Alexandria via LeMat-Bulk describes a geometry-optimized DyLuCdRu structure. The functional is PBE.

Unit cell a=4.9809 b=4.9809 c=4.9809 alpha=60.00 beta=60.00 gamma=60.00
Fractional coordinates of all 4 atoms:
Cd: 0.0000 0.0000 0.0000
Lu: 0.2500 0.2500 0.2500
Ru: 0.5000 0.5000 0.5000
Dy: 0.7500 0.7500 0.7500

* magnetization: 0.0 μB/cell
* calculated formation energy: -0.318 eV/atom
* N(E_F): 4.013 states/eV/cell

This record from Alexandria via LeMat-Bulk describes a geometry-optimized DyLuCdTc structure. The functional is PBE.

Unit cell a=4.9916 b=4.9916 c=4.9916 alpha=60.00 beta=60.00 gamma=60.00
Fractional coordinates of all 4 atoms:
Cd: 0.7500 0.7500 0.7500
Lu: 0.0000 0.0000 0.0000
Tc: 0.2500 0.2500 0.2500
Dy: 0.5000 0.5000 0.5000

* magnetization: 0.0 μB/cell
* calculated formation energy: -0.119 eV/atom
* N(E_F): 3.144 states/eV/cell

This record from Alexandria via LeMat-Bulk describes a geometry-optimized DyMgCd structure. The functional is PBE.

Unit cell a=3.5280 b=3.5162 c=12.1388 alpha=89.99 beta=90.00 gamma=90.00
Fractional coordinates of all 6 atoms:
Dy: 0.8723 0.2902 0.1515
Dy: 0.3723 0.7902 0.3610
Mg: 0.8724 0.2926 0.8369
Mg: 0.3729 0.7917 0.6751
Cd: 0.8725 0.2909 0.5337
Cd: 0.3722 0.7911 0.9787

* magnetization: 0.0 μB/cell
* calculated formation energy: -0.161 eV/atom
* N(E_F): 4.833 states/eV/cell

This record from Alexandria via LeMat-Bulk describes a geometry-optimized DyMgCd4 structure. The functional is PBE.

Unit cell a=5.8466 b=5.8466 c=5.8466 alpha=60.00 beta=60.00 gamma=60.00
Fractional coordinates of all 6 atoms:
Mg: 0.2500 0.2500 0.2500
Cd: 0.6254 0.6254 0.1237
Cd: 0.6254 0.1237 0.6254
Cd: 0.6254 0.6254 0.6254
Cd: 0.1237 0.6254 0.6254
Dy: 0.0000 0.0000 0.0000

* magnetization: 0.0 μB/cell
* calculated formation energy: -0.109 eV/atom
* excess energy over the best structure of this formula in the dataset: 0.000 eV/atom
* N(E_F): 4.823 states/eV/cell

This record from Alexandria via LeMat-Bulk describes a geometry-optimized DyMg2Cd5 structure. The functional is PBE.

Unit cell a=4.5395 b=4.5395 c=9.4646 alpha=103.88 beta=103.88 gamma=90.00
Fractional coordinates of all 8 atoms:
Dy: 0.0000 0.0000 0.0000
Mg: 0.2458 0.2458 0.4916
Mg: 0.7542 0.7542 0.5084
Cd: 0.5000 0.5000 0.0000
Cd: 0.6307 0.1307 0.2615
Cd: 0.1307 0.6307 0.2615
Cd: 0.3693 0.8693 0.7385
Cd: 0.8693 0.3693 0.7385

* magnetization: 0.0 μB/cell
* calculated formation energy: -0.177 eV/atom
* N(E_F): 3.972 states/eV/cell

This record from Alexandria via LeMat-Bulk describes a geometry-optimized Dy2Mg3Cd4 structure. The functional is PBE.

Unit cell a=5.0713 b=5.0620 c=9.5715 alpha=90.27 beta=90.01 gamma=59.93
Fractional coordinates of all 9 atoms:
Dy: 0.3337 0.3325 0.7871
Dy: 0.6663 0.6675 0.2129
Mg: 0.3328 0.3345 0.4309
Mg: 0.0000 0.0000 0.0000
Mg: 0.6672 0.6655 0.5691
Cd: 0.6668 0.6663 0.8928
Cd: 0.9990 0.0022 0.3436
Cd: 0.0010 0.9978 0.6564
Cd: 0.3332 0.3337 0.1072

* magnetization: 0.0 μB/cell
* calculated formation energy: -0.229 eV/atom
* excess energy over the best structure of this formula in the dataset: 0.000 eV/atom
* N(E_F): 4.184 states/eV/cell

This record from Alexandria via LeMat-Bulk describes a geometry-optimized DyMgCd4 structure. The functional is PBE.

Unit cell a=4.2357 b=4.2357 c=9.3222 alpha=90.00 beta=90.00 gamma=90.00
Fractional coordinates of all 6 atoms:
Dy: 0.0000 0.0000 0.0000
Mg: 0.5000 0.5000 0.5000
Cd: 0.5000 0.0000 0.7388
Cd: 0.0000 0.5000 0.7388
Cd: 0.5000 0.0000 0.2612
Cd: 0.0000 0.5000 0.2612

* magnetization: 0.0 μB/cell
* calculated formation energy: 0.062 eV/atom
* excess energy over the best structure of this formula in the dataset: 0.171 eV/atom
* N(E_F): 3.337 states/eV/cell

This record from Alexandria via LeMat-Bulk describes a geometry-optimized DyMg5Cd4 structure. The functional is PBE.

Unit cell a=4.9397 b=6.5727 c=7.6474 alpha=103.52 beta=108.84 gamma=90.00
Fractional coordinates of all 10 atoms:
Dy: 0.5000 0.0000 0.0000
Mg: 0.2881 0.1603 0.5762
Mg: 0.1023 0.3363 0.2046
Mg: 0.8977 0.6637 0.7954
Mg: 0.5000 0.5000 0.0000
Mg: 0.7119 0.8397 0.4238
Cd: 0.7081 0.3402 0.4163
Cd: 0.0987 0.8196 0.1974
Cd: 0.2919 0.6598 0.5837
Cd: 0.9013 0.1804 0.8026

* magnetization: 0.0 μB/cell
* calculated formation energy: -0.156 eV/atom
* N(E_F): 4.180 states/eV/cell

This record from Alexandria via LeMat-Bulk describes a geometry-optimized Dy6Mg2Cd structure. The functional is PBE.

Unit cell a=5.1373 b=10.0561 c=10.0517 alpha=90.00 beta=89.99 gamma=90.00
Fractional coordinates of all 18 atoms:
Dy: 0.0001 0.0189 0.1738
Dy: 0.0000 0.6737 0.5187
Dy: 0.0001 0.6294 0.8706
Dy: 0.4999 0.1294 0.6294
Dy: 0.5000 0.1736 0.9813
Dy: 0.4999 0.5189 0.3263
Dy: 0.9999 0.9811 0.8262
Dy: 0.0000 0.3263 0.4813
Dy: 0.9999 0.3706 0.1294
Dy: 0.5001 0.8706 0.3706
Dy: 0.5000 0.8264 0.0187
Dy: 0.5001 0.4811 0.6737
Mg: 0.0000 0.3051 0.8052
Mg: 0.5000 0.8052 0.6947
Mg: 0.5000 0.1948 0.3053
Mg: 0.0000 0.6949 0.1948
Cd: 0.5000 0.5000 0.0000
Cd: 0.0000 0.0000 0.5000

* magnetization: 0.0 μB/cell
* calculated formation energy: -0.050 eV/atom
* N(E_F): 28.791 states/eV/cell

This record from Alexandria via LeMat-Bulk describes a geometry-optimized Dy4Mg5Cd structure. The functional is PBE.

Unit cell a=3.7659 b=3.7659 c=18.3858 alpha=90.00 beta=90.00 gamma=90.00
Fractional coordinates of all 10 atoms:
Dy: 0.0000 0.0000 0.1944
Dy: 0.0000 0.0000 0.3962
Dy: 0.0000 0.0000 0.6038
Dy: 0.0000 0.0000 0.8056
Mg: 0.5000 0.5000 0.0863
Mg: 0.5000 0.5000 0.2945
Mg: 0.5000 0.5000 0.5000
Mg: 0.5000 0.5000 0.7055
Mg: 0.5000 0.5000 0.9137
Cd: 0.0000 0.0000 0.0000

* magnetization: 0.0 μB/cell
* calculated formation energy: -0.093 eV/atom
* excess energy over the best structure of this formula in the dataset: 0.021 eV/atom
* N(E_F): 9.466 states/eV/cell

This record from Alexandria via LeMat-Bulk describes a geometry-optimized DyMg5Cd2 structure. The functional is PBE.

Unit cell a=3.3898 b=7.6891 c=7.6891 alpha=76.37 beta=77.27 gamma=77.27
Fractional coordinates of all 8 atoms:
Dy: 0.0000 0.0000 0.0000
Mg: 0.0000 0.5000 0.5000
Mg: 0.6334 0.5914 0.1418
Mg: 0.3666 0.4086 0.8582
Mg: 0.3666 0.8582 0.4086
Mg: 0.6334 0.1418 0.5914
Cd: 0.7434 0.7566 0.7566
Cd: 0.2566 0.2434 0.2434

* magnetization: 0.0 μB/cell
* calculated formation energy: -0.130 eV/atom
* N(E_F): 3.943 states/eV/cell

This record from Alexandria via LeMat-Bulk describes a geometry-optimized DyMgCd structure. The functional is PBE.

Unit cell a=5.8375 b=3.4397 c=5.3668 alpha=89.99 beta=89.98 gamma=53.08
Fractional coordinates of all 3 atoms:
Dy: 0.0000 0.0000 0.5000
Mg: 0.5000 0.5000 0.0000
Cd: 0.0000 0.5000 0.0000

* magnetization: 0.0 μB/cell
* calculated formation energy: 0.112 eV/atom
* N(E_F): 3.124 states/eV/cell

This record from Alexandria via LeMat-Bulk describes a geometry-optimized DyMg3Cd3 structure. The functional is PBE.

Unit cell a=5.0690 b=8.6051 c=8.6051 alpha=120.00 beta=90.00 gamma=90.00
Fractional coordinates of all 14 atoms:
Dy: 0.2500 0.6667 0.3333
Dy: 0.7500 0.3333 0.6667
Mg: 0.7500 0.0086 0.7797
Mg: 0.7500 0.7711 0.9914
Mg: 0.2500 0.7797 0.7711
Mg: 0.7500 0.2203 0.2289
Mg: 0.2500 0.2289 0.0086
Mg: 0.2500 0.9914 0.2203
Cd: 0.7500 0.6143 0.5272
Cd: 0.7500 0.9129 0.3857
Cd: 0.2500 0.5272 0.9129
Cd: 0.7500 0.4728 0.0871
Cd: 0.2500 0.0871 0.6143
Cd: 0.2500 0.3857 0.4728

* magnetization: 0.0 μB/cell
* calculated formation energy: -0.147 eV/atom
* excess energy over the best structure of this formula in the dataset: 0.000 eV/atom
* N(E_F): 6.186 states/eV/cell

This record from Alexandria via LeMat-Bulk describes a geometry-optimized DyMg2Cd4 structure. The functional is PBE.

Unit cell a=6.3522 b=6.8759 c=7.3043 alpha=134.01 beta=79.75 gamma=124.88
Fractional coordinates of all 7 atoms:
Dy: 0.0000 0.0000 0.0000
Mg: 0.6997 0.7147 0.4339
Mg: 0.3003 0.2853 0.5661
Cd: 0.7475 0.1960 0.4647
Cd: 0.2525 0.8040 0.5353
Cd: 0.5000 0.0000 0.0000
Cd: 0.0000 0.5000 0.0000

* magnetization: 0.0 μB/cell
* calculated formation energy: -0.048 eV/atom
* N(E_F): 3.197 states/eV/cell

This record from Alexandria via LeMat-Bulk describes a geometry-optimized Dy4Mg2Cd3 structure. The functional is PBE.

Unit cell a=5.0472 b=5.5833 c=9.5958 alpha=78.52 beta=90.01 gamma=63.13
Fractional coordinates of all 9 atoms:
Dy: 0.6506 0.6989 0.8988
Dy: 0.0362 0.9271 0.3342
Dy: 0.9638 0.0729 0.6658
Dy: 0.3494 0.3011 0.1012
Mg: 0.2948 0.4109 0.7468
Mg: 0.7052 0.5891 0.2532
Cd: 0.3550 0.2897 0.4343
Cd: 0.0000 0.0000 0.0000
Cd: 0.6450 0.7103 0.5657

* magnetization: 0.0 μB/cell
* calculated formation energy: -0.169 eV/atom
* N(E_F): 7.285 states/eV/cell

This record from Alexandria via LeMat-Bulk describes a geometry-optimized Dy5MgCd3 structure. The functional is PBE.

Unit cell a=6.7013 b=9.1892 c=9.1901 alpha=120.00 beta=90.00 gamma=90.00
Fractional coordinates of all 18 atoms:
Dy: 0.0000 0.6667 0.3334
Dy: 0.5000 0.3333 0.6666
Dy: 0.0000 0.3333 0.6666
Dy: 0.5000 0.6667 0.3334
Dy: 0.7500 0.6858 0.6858
Dy: 0.7500 0.0000 0.3142
Dy: 0.7500 0.3143 0.0000
Dy: 0.2500 0.3142 0.3142
Dy: 0.2500 0.0000 0.6858
Dy: 0.2500 0.6857 0.0000
Mg: 0.0000 0.0000 0.0000
Mg: 0.5000 0.0000 0.0000
Cd: 0.7500 0.3504 0.3503
Cd: 0.7500 0.0001 0.6497
Cd: 0.7500 0.6496 0.0000
Cd: 0.2500 0.6496 0.6497
Cd: 0.2500 0.9999 0.3503
Cd: 0.2500 0.3504 0.0000

* magnetization: 0.0 μB/cell
* calculated formation energy: -0.183 eV/atom
* N(E_F): 22.529 states/eV/cell

This record from Alexandria via LeMat-Bulk describes a geometry-optimized Dy3Mg4Cd structure. The functional is PBE.

Unit cell a=5.0434 b=8.0957 c=10.0873 alpha=90.00 beta=90.00 gamma=90.00
Each line ends with the local moment (μB).
Fractional coordinates of all 16 atoms:
Mg: 0.5000 0.7354 0.0000  0.00
Mg: 0.5000 0.7354 0.5000  0.00
Mg: 0.5000 0.2646 0.0000  0.00
Mg: 0.5000 0.2646 0.5000  0.00
Mg: 0.9997 0.7355 0.7500  0.00
Mg: 0.0003 0.7355 0.2500  0.00
Mg: 0.0003 0.2645 0.2500  0.00
Mg: 0.9997 0.2645 0.7500  0.00
Cd: 0.0000 0.5000 0.0000  0.00
Cd: 0.0000 0.5000 0.5000  0.00
Dy: 0.0000 0.0000 0.0000  0.15
Dy: 0.0000 0.0000 0.5000  0.15
Dy: 0.4997 0.0000 0.7500  0.13
Dy: 0.5003 0.0000 0.2500  0.13
Dy: 0.4996 0.5000 0.7500  0.00
Dy: 0.5004 0.5000 0.2500  0.00

* magnetization: 0.8 μB/cell
* calculated formation energy: -0.079 eV/atom
* N(E_F): 16.589 states/eV/cell

This record from Alexandria via LeMat-Bulk describes a geometry-optimized Dy4Mg5Cd structure. The functional is PBE.

Unit cell a=5.2500 b=6.5572 c=8.3049 alpha=104.83 beta=108.43 gamma=90.00
Fractional coordinates of all 10 atoms:
Dy: 0.6946 0.3051 0.3893
Dy: 0.0992 0.8997 0.1984
Dy: 0.3054 0.6949 0.6107
Dy: 0.9008 0.1003 0.8016
Mg: 0.3025 0.2016 0.6051
Mg: 0.0974 0.4151 0.1949
Mg: 0.9026 0.5849 0.8051
Mg: 0.5000 0.5000 0.0000
Mg: 0.6975 0.7984 0.3949
Cd: 0.5000 0.0000 0.0000

* magnetization: 0.0 μB/cell
* calculated formation energy: -0.114 eV/atom
* excess energy over the best structure of this formula in the dataset: 0.000 eV/atom
* N(E_F): 8.654 states/eV/cell

This record from Alexandria via LeMat-Bulk describes a geometry-optimized Dy3Mg12Cd structure. The functional is PBE.

Unit cell a=4.6652 b=4.6652 c=17.9687 alpha=90.00 beta=90.00 gamma=90.00
Fractional coordinates of all 16 atoms:
Dy: 0.0000 0.0000 0.2374
Dy: 0.0000 0.0000 0.5000
Dy: 0.0000 0.0000 0.7626
Mg: 0.5000 0.5000 0.0000
Mg: 0.5000 0.5000 0.2345
Mg: 0.5000 0.5000 0.5000
Mg: 0.5000 0.5000 0.7655
Mg: 0.5000 0.0000 0.1105
Mg: 0.5000 0.0000 0.3687
Mg: 0.5000 0.0000 0.6313
Mg: 0.5000 0.0000 0.8895
Mg: 0.0000 0.5000 0.1105
Mg: 0.0000 0.5000 0.3687
Mg: 0.0000 0.5000 0.6313
Mg: 0.0000 0.5000 0.8895
Cd: 0.0000 0.0000 0.0000

* magnetization: 0.0 μB/cell
* calculated formation energy: -0.064 eV/atom
* N(E_F): 7.821 states/eV/cell

This record from Alexandria via LeMat-Bulk describes a geometry-optimized DyMgCd structure. The functional is PBE.

Unit cell a=5.2220 b=5.2210 c=6.3259 alpha=90.00 beta=90.00 gamma=120.01
Fractional coordinates of all 6 atoms:
Mg: 0.5000 0.0000 0.5000
Mg: 0.5000 0.0000 0.0000
Cd: 0.1668 0.3335 0.2500
Cd: 0.8332 0.6665 0.7500
Dy: 0.1666 0.3333 0.7500
Dy: 0.8334 0.6667 0.2500

* magnetization: 0.0 μB/cell
* calculated formation energy: -0.238 eV/atom
* N(E_F): 3.315 states/eV/cell